No. 1
First-principles (PBE) data for crystalline DyTlHg6 at its relaxed geometry, as listed in Alexandria.

The structure in POSCAR format:
```
DyTlHg6
1.0
6.167 0.000 1.378
2.930 5.427 1.378
0.854 0.509 10.670
Hg Dy Tl
6 1 1
Direct
0.736 0.250 0.765
0.250 0.250 0.765
0.250 0.736 0.765
0.750 0.750 0.235
0.750 0.264 0.235
0.264 0.750 0.235
0.000 0.000 0.000
0.500 0.500 0.500
```

Values from the calculation:
distance to the lowest polymorph of the same formula	322	meV/atom
N(E_F)	3.847	states/eV per cell
E_tot	-7.43	eV per cell
energy relative to the elements	1.350	eV/f.u.

---

No. 2
First-principles (PBE) data for crystalline Dy3TlHg3 at its relaxed geometry, as listed in Alexandria.

The structure in POSCAR format:
```
Dy3TlHg3
1.0
7.177 -0.077 0.018
-0.061 7.177 0.018
0.021 0.021 7.424
Hg Dy Tl
6 6 2
Direct
0.330 0.330 0.543
0.245 0.755 0.500
0.670 0.670 0.457
0.764 0.236 0.000
0.236 0.764 0.000
0.755 0.245 0.500
0.456 0.041 0.254
0.959 0.544 0.746
0.544 0.959 0.746
0.945 0.945 0.254
0.041 0.456 0.254
0.055 0.055 0.746
0.333 0.333 0.959
0.667 0.667 0.041
```

Values from the calculation:
distance to the lowest polymorph of the same formula	10	meV/atom
N(E_F)	9.342	states/eV per cell
E_tot	-38.51	eV per cell
energy relative to the elements	-2.177	eV/f.u.

---

No. 3
First-principles (PBE) data for crystalline Dy5Tl3Hg at its relaxed geometry, as listed in Alexandria.

The structure in POSCAR format:
```
Dy5Tl3Hg
1.0
-4.774 1.909 4.411
5.231 -3.072 6.991
0.823 8.752 -2.898
Hg Tl Dy
2 6 10
Direct
0.000 0.000 0.000
0.500 0.000 0.000
0.750 0.622 0.000
0.750 0.000 0.622
0.750 0.378 0.378
0.250 0.378 0.000
0.250 0.000 0.378
0.250 0.622 0.622
0.000 0.667 0.333
0.750 0.282 0.000
0.500 0.667 0.333
0.250 0.282 0.282
0.250 0.718 0.000
0.500 0.333 0.667
0.250 0.000 0.718
0.000 0.333 0.667
0.750 0.718 0.718
0.750 0.000 0.282
```

Values from the calculation:
N(E_F)	11.140	states/eV per cell
E_tot	-67.54	eV per cell
energy relative to the elements	-3.358	eV/f.u.

---

No. 4
First-principles (PBE) data for crystalline Dy4TlHg7 at its relaxed geometry, as listed in Alexandria.

The structure in POSCAR format:
```
Dy4TlHg7
1.0
5.459 0.000 0.000
2.730 9.402 -0.035
2.730 0.419 6.384
Hg Dy Tl
7 4 1
Direct
0.066 0.653 0.214
0.639 0.464 0.258
0.361 0.536 0.742
0.500 0.000 0.000
0.206 0.087 0.502
0.794 0.913 0.498
0.934 0.347 0.786
0.585 0.225 0.606
0.741 0.672 0.846
0.415 0.775 0.394
0.259 0.328 0.154
0.000 0.000 0.000
```

Values from the calculation:
N(E_F)	6.489	states/eV per cell
E_tot	-25.77	eV per cell
energy relative to the elements	-2.882	eV/f.u.

---

No. 5
First-principles (PBE) data for crystalline Dy5Tl6Hg at its relaxed geometry, as listed in Alexandria.

The structure in POSCAR format:
```
Dy5Tl6Hg
1.0
-3.210 -3.595 0.801
-0.883 2.144 -8.776
8.146 -3.551 1.854
Dy Tl Hg
5 6 1
Direct
0.500 0.500 0.500
0.000 0.677 0.323
0.500 0.138 0.862
0.500 0.862 0.138
0.000 0.323 0.677
0.231 0.731 0.731
0.258 0.085 0.430
0.258 0.430 0.085
0.769 0.269 0.269
0.742 0.915 0.570
0.742 0.570 0.915
0.000 0.000 0.000
```

Values from the calculation:
N(E_F)	8.513	states/eV per cell
E_tot	-41.10	eV per cell
energy relative to the elements	-3.587	eV/f.u.

---

No. 6
First-principles (PBE) data for crystalline Dy6TlHg8 at its relaxed geometry, as listed in Alexandria.

The structure in POSCAR format:
```
Dy6TlHg8
1.0
-7.451 -1.370 -2.685
-4.923 -3.073 5.561
-5.438 5.241 2.749
Hg Dy Tl
8 6 1
Direct
0.700 0.700 0.700
0.185 0.551 0.933
0.067 0.815 0.449
0.449 0.067 0.815
0.815 0.449 0.067
0.300 0.300 0.300
0.551 0.933 0.185
0.933 0.185 0.551
0.686 0.119 0.388
0.119 0.388 0.686
0.612 0.314 0.881
0.388 0.686 0.119
0.881 0.612 0.314
0.314 0.881 0.612
0.000 0.000 0.000
```

Values from the calculation:
N(E_F)	12.112	states/eV per cell
E_tot	-37.14	eV per cell
energy relative to the elements	-4.749	eV/f.u.

---

No. 7
First-principles (PBE) data for crystalline Dy5TlHg3 at its relaxed geometry, as listed in Alexandria.

The structure in POSCAR format:
```
Dy5TlHg3
1.0
-6.425 1.812 0.819
-2.673 -8.419 -2.346
1.677 1.987 8.762
Dy Hg Tl
10 6 2
Direct
0.750 0.297 0.000
0.000 0.333 0.667
0.000 0.667 0.333
0.500 0.333 0.667
0.750 0.703 0.703
0.750 0.000 0.297
0.500 0.667 0.333
0.250 0.703 0.000
0.250 0.297 0.297
0.250 0.000 0.703
0.750 0.000 0.627
0.250 0.627 0.627
0.250 0.373 0.000
0.750 0.627 0.000
0.250 0.000 0.373
0.750 0.373 0.373
0.500 0.000 0.000
0.000 0.000 0.000
```

Values from the calculation:
N(E_F)	17.546	states/eV per cell
E_tot	-59.35	eV per cell
energy relative to the elements	-3.392	eV/f.u.

---

No. 8
First-principles (PBE) data for crystalline Dy2Tl2Hg3 at its relaxed geometry, as listed in Alexandria.

The structure in POSCAR format:
```
Dy2Tl2Hg3
1.0
-1.785 -4.294 7.782
-1.672 -7.897 4.128
2.713 -6.118 6.116
Hg Tl Dy
3 2 2
Direct
0.743 0.743 0.743
0.257 0.257 0.257
0.000 0.000 0.000
0.134 0.134 0.134
0.866 0.866 0.866
0.381 0.381 0.381
0.619 0.619 0.619
```

Values from the calculation:
N(E_F)	5.574	states/eV per cell
E_tot	-16.40	eV per cell
energy relative to the elements	-1.553	eV/f.u.

---

No. 9
First-principles (PBE) data for crystalline Dy4Tl2Hg5 at its relaxed geometry, as listed in Alexandria.

The structure in POSCAR format:
```
Dy4Tl2Hg5
1.0
-0.693 1.891 -2.945
-6.501 -4.643 -1.452
-4.524 7.052 5.593
Dy Tl Hg
4 2 5
Direct
0.500 0.814 0.102
0.500 0.729 0.572
0.500 0.271 0.428
0.500 0.186 0.898
0.000 0.081 0.640
0.000 0.919 0.360
0.000 0.164 0.152
0.000 0.836 0.848
0.000 0.461 0.690
0.000 0.500 0.000
0.000 0.539 0.310
```

Values from the calculation:
N(E_F)	7.222	states/eV per cell
E_tot	-27.97	eV per cell
energy relative to the elements	-3.320	eV/f.u.

---

No. 10
First-principles (PBE) data for crystalline Dy12Tl5Hg2 at its relaxed geometry, as listed in Alexandria.

The structure in POSCAR format:
```
Dy12Tl5Hg2
1.0
-2.930 -6.656 -0.972
7.692 1.398 -5.070
5.855 -3.464 6.068
Dy Tl Hg
12 5 2
Direct
0.042 0.084 0.809
0.958 0.916 0.191
0.107 0.702 0.504
0.079 0.678 0.914
0.921 0.322 0.086
0.595 0.702 0.504
0.493 0.986 0.691
0.405 0.298 0.496
0.507 0.014 0.309
0.599 0.678 0.914
0.893 0.298 0.496
0.401 0.322 0.086
0.229 0.458 0.747
0.771 0.542 0.253
0.697 0.394 0.768
0.303 0.606 0.232
0.000 0.000 0.500
0.686 0.000 0.000
0.314 0.000 0.000
```

Values from the calculation:
N(E_F)	19.394	states/eV per cell
E_tot	-70.39	eV per cell
energy relative to the elements	-2.727	eV/f.u.

---

No. 11
First-principles (PBE) data for crystalline Dy12Tl3Hg5 at its relaxed geometry, as listed in Alexandria.

The structure in POSCAR format:
```
Dy12Tl3Hg5
1.0
-0.848 -6.370 13.879
-10.834 -5.947 -9.010
13.765 -2.789 -6.057
Dy Tl Hg
48 12 20
Direct
0.056 0.424 0.834
0.632 0.576 0.910
0.556 0.334 0.924
0.721 0.132 0.056
0.590 0.868 0.424
0.868 0.279 0.444
0.632 0.056 0.221
0.279 0.410 0.834
0.556 0.221 0.132
0.368 0.944 0.779
0.834 0.910 0.279
0.944 0.368 0.279
0.424 0.056 0.334
0.090 0.166 0.221
0.576 0.632 0.410
0.590 0.721 0.666
0.410 0.132 0.576
0.666 0.444 0.576
0.076 0.910 0.132
0.834 0.924 0.056
0.444 0.779 0.868
0.368 0.424 0.090
0.576 0.944 0.666
0.779 0.444 0.368
0.334 0.556 0.424
0.424 0.368 0.590
0.910 0.076 0.632
0.924 0.834 0.556
0.721 0.590 0.166
0.166 0.076 0.944
0.090 0.924 0.368
0.944 0.576 0.166
0.924 0.090 0.868
0.910 0.834 0.779
0.132 0.721 0.556
0.868 0.590 0.924
0.166 0.090 0.721
0.221 0.556 0.632
0.444 0.666 0.076
0.076 0.166 0.444
0.410 0.279 0.334
0.666 0.221 0.590
0.221 0.666 0.090
0.279 0.868 0.944
0.779 0.334 0.910
0.334 0.779 0.410
0.056 0.632 0.721
0.132 0.410 0.076
0.250 0.625 0.875
0.625 0.250 0.375
0.375 0.750 0.625
0.875 0.750 0.125
0.750 0.375 0.125
0.250 0.125 0.375
0.125 0.250 0.875
0.750 0.875 0.625
0.875 0.125 0.250
0.375 0.625 0.250
0.625 0.375 0.750
0.125 0.875 0.750
0.375 0.250 0.125
0.000 0.000 0.500
0.125 0.750 0.375
0.500 0.000 0.500
0.250 0.875 0.125
0.500 0.000 0.000
0.500 0.500 0.500
0.500 0.500 0.000
0.625 0.750 0.875
0.375 0.125 0.750
0.000 0.000 0.000
0.875 0.250 0.625
0.625 0.875 0.250
0.000 0.500 0.000
0.250 0.375 0.625
0.000 0.500 0.500
0.750 0.125 0.875
0.750 0.625 0.375
0.125 0.375 0.250
0.875 0.625 0.750
```

Values from the calculation:
N(E_F)	111.316	states/eV per cell
E_tot	-248.03	eV per cell
energy relative to the elements	1.825	eV/f.u.

---

No. 12
First-principles (PBE) data for crystalline Dy6Tl5Hg at its relaxed geometry, as listed in Alexandria.

The structure in POSCAR format:
```
Dy6Tl5Hg
1.0
-1.292 -2.134 5.942
1.594 -9.658 -0.706
6.208 -4.043 1.105
Tl Dy Hg
5 6 1
Direct
0.500 0.500 0.000
0.000 0.663 0.675
0.500 0.828 0.345
0.000 0.337 0.325
0.500 0.172 0.655
0.245 0.589 0.329
0.755 0.411 0.671
0.749 0.756 0.000
0.245 0.918 0.671
0.251 0.244 0.000
0.755 0.082 0.329
0.000 0.000 0.000
```

Values from the calculation:
distance to the lowest polymorph of the same formula	96	meV/atom
N(E_F)	10.515	states/eV per cell
E_tot	-42.99	eV per cell
energy relative to the elements	-3.247	eV/f.u.

---

No. 13
First-principles (PBE) data for crystalline Dy4Tl5Hg at its relaxed geometry, as listed in Alexandria.

The structure in POSCAR format:
```
Dy4Tl5Hg
1.0
4.771 0.000 -1.636
-0.755 6.072 -2.201
0.536 -0.423 9.338
Dy Tl Hg
4 5 1
Direct
0.085 0.833 0.170
0.915 0.167 0.830
0.698 0.278 0.395
0.302 0.722 0.605
0.704 0.795 0.408
0.893 0.635 0.785
0.296 0.205 0.592
0.500 0.500 0.000
0.107 0.365 0.215
0.500 0.000 0.000
```

Values from the calculation:
distance to the lowest polymorph of the same formula	0	meV/atom
N(E_F)	6.561	states/eV per cell
E_tot	-33.59	eV per cell
energy relative to the elements	-3.045	eV/f.u.

---

No. 14
First-principles (PBE) data for crystalline DyTlHg6 at its relaxed geometry, as listed in Alexandria.

The structure in POSCAR format:
```
DyTlHg6
1.0
-0.950 4.510 -0.861
-1.993 0.387 4.227
8.208 2.425 3.647
Hg Dy Tl
6 1 1
Direct
0.000 0.500 0.741
0.000 0.500 0.259
0.500 0.500 0.000
0.500 0.500 0.500
0.500 0.000 0.259
0.500 0.000 0.741
0.000 0.000 0.500
0.000 0.000 0.000
```

Values from the calculation:
distance to the lowest polymorph of the same formula	0	meV/atom
N(E_F)	2.790	states/eV per cell
E_tot	-10.01	eV per cell
energy relative to the elements	-1.227	eV/f.u.

---

No. 15
First-principles (PBE) data for crystalline Dy2TlHg8 at its relaxed geometry, as listed in Alexandria.

The structure in POSCAR format:
```
Dy2TlHg8
1.0
4.778 0.000 -1.454
-1.042 6.028 -3.423
0.155 1.110 9.085
Hg Tl Dy
8 1 2
Direct
0.000 0.293 0.000
0.169 0.169 0.338
0.645 0.419 0.290
0.831 0.831 0.662
0.355 0.130 0.710
0.000 0.707 0.000
0.355 0.581 0.710
0.645 0.870 0.290
0.500 0.000 0.000
0.197 0.697 0.394
0.803 0.303 0.606
```

Values from the calculation:
N(E_F)	5.110	states/eV per cell
E_tot	-16.07	eV per cell
energy relative to the elements	-2.085	eV/f.u.

---

No. 16
First-principles (PBE) data for crystalline Dy4TlHg3 at its relaxed geometry, as listed in Alexandria.

The structure in POSCAR format:
```
Dy4TlHg3
1.0
3.726 0.000 0.000
0.000 3.726 0.000
0.000 0.000 15.076
Hg Dy Tl
3 4 1
Direct
0.500 0.500 0.500
0.500 0.500 0.746
0.500 0.500 0.254
0.000 0.000 0.132
0.000 0.000 0.377
0.000 0.000 0.623
0.000 0.000 0.868
0.500 0.500 0.000
```

Values from the calculation:
distance to the lowest polymorph of the same formula	0	meV/atom
N(E_F)	9.221	states/eV per cell
E_tot	-25.24	eV per cell
energy relative to the elements	-3.560	eV/f.u.

---

No. 17
First-principles (PBE) data for crystalline Dy4Tl3Hg at its relaxed geometry, as listed in Alexandria.

The structure in POSCAR format:
```
Dy4Tl3Hg
1.0
3.773 0.000 0.000
0.000 3.773 0.000
0.000 0.000 15.166
Tl Dy Hg
3 4 1
Direct
0.500 0.500 0.500
0.500 0.500 0.246
0.500 0.500 0.754
0.000 0.000 0.882
0.000 0.000 0.627
0.000 0.000 0.118
0.000 0.000 0.373
0.500 0.500 0.000
```

Values from the calculation:
distance to the lowest polymorph of the same formula	0	meV/atom
N(E_F)	7.637	states/eV per cell
E_tot	-28.84	eV per cell
energy relative to the elements	-3.028	eV/f.u.